1.
VASP calculation (PBE) on crystalline CeNiH8Ir2 at its relaxed geometry.

Lattice parameters (Å, degrees): 4.703 4.703 5.872 66.39 66.39 60.00
Fractional positions:
Ni 0.000 0.000 0.000
Ir 0.713 0.713 0.860
H 0.059 0.059 0.239
H 0.817 0.817 0.548
Ir 0.287 0.287 0.140
H 0.059 0.643 0.239
H 0.941 0.941 0.761
H 0.183 0.183 0.452
H 0.357 0.941 0.761
H 0.941 0.357 0.761
H 0.643 0.059 0.239
Ce 0.500 0.500 0.500

Computed properties:
Density of states at the Fermi level   0.4826 states/eV/atom
Crystal system   trigonal
Volume   100 Å³/cell
VASP energy   -4.869 eV per atom

---

2.
VASP calculation (PBE) on crystalline CeNi2H8Ir at its relaxed geometry.

Lattice parameters (Å, degrees): 4.512 4.512 6.093 68.27 68.27 60.00
Fractional positions:
H 0.718 0.086 0.834
H 0.639 0.282 0.166
Ce 0.500 0.500 0.500
H 0.820 0.820 0.541
H 0.361 0.718 0.834
H 0.914 0.639 0.166
Ni 0.274 0.274 0.178
H 0.086 0.361 0.834
H 0.282 0.914 0.166
H 0.180 0.180 0.459
Ir 0.000 0.000 0.000
Ni 0.726 0.726 0.822

Computed properties:
Density of states at the Fermi level   0.4637 states/eV/atom
Crystal system   trigonal
Volume   97 Å³/cell
VASP energy   -4.620 eV per atom

---

Question: Number 1 is which compound?
Answer: CeNiH8Ir2

---

Question: Among the records above, which one has the highest density of states at the Fermi level?
Answer: CeNiH8Ir2